1.
An optimized crystal structure of Ba2MgI2. Source: Alexandria via LeMat-Bulk, functional PBE.

Energy relative to the elements, uncorrected: -0.776 eV per atom
Calculated total energy: -2.4843 eV/atom
Distance to the lowest polymorph of the same formula: 81 meV per atom

The structure in CIF format:
```
data_Ba2MgI2
_chemical_formula_sum 'Ba4 Mg2 I4'
_symmetry_space_group_name_H-M 'I 4/m m m'
_symmetry_Int_Tables_number 139
_symmetry_space_group_name_Hall '-I 4 2'
_cell_length_a 6.755
_cell_length_b 6.755
_cell_length_c 10.774
_cell_angle_alpha 90.00
_cell_angle_beta 90.00
_cell_angle_gamma 90.00
loop_
_atom_site_label
_atom_site_type_symbol
_atom_site_fract_x
_atom_site_fract_y
_atom_site_fract_z
_atom_site_occupancy
Ba1 Ba 0.000 0.500 0.250 1
Mg1 Mg 0.000 0.000 0.000 1
I1 I 0.000 0.000 0.325 1
```

***

2.
An optimized crystal structure of ScIN2. Source: Alexandria via LeMat-Bulk, functional PBE.

Energy relative to the elements, uncorrected: 0.476 eV per atom
Calculated total energy: -5.6567 eV/atom
Distance to the lowest polymorph of the same formula: 486 meV per atom

The structure in CIF format:
```
data_ScIN2
_chemical_formula_sum 'Sc4 I4 N8'
_symmetry_space_group_name_H-M 'I -4 2 d'
_symmetry_Int_Tables_number 122
_symmetry_space_group_name_Hall 'I -4 2bw'
_cell_length_a 4.906
_cell_length_b 4.906
_cell_length_c 11.580
_cell_angle_alpha 90.00
_cell_angle_beta 90.00
_cell_angle_gamma 90.00
loop_
_atom_site_label
_atom_site_type_symbol
_atom_site_fract_x
_atom_site_fract_y
_atom_site_fract_z
_atom_site_occupancy
Sc1 Sc 0.000 0.000 0.000 1
I1 I 0.000 0.000 0.500 1
N1 N 0.211 0.250 0.125 1
```

***

3.
An optimized crystal structure of Dy3Ge5Rh6. Source: Alexandria via LeMat-Bulk, functional PBE.

Calculated total energy: -6.6778 eV/atom
Energy of formation: -0.892 eV/atom

The structure in CIF format:
```
data_Dy3Ge5Rh6
_chemical_formula_sum 'Dy6 Ge10 Rh12'
_symmetry_space_group_name_H-M 'P m m n'
_symmetry_Int_Tables_number 59
_cell_length_a 4.071
_cell_length_b 12.717
_cell_length_c 9.622
_cell_angle_alpha 90.00
_cell_angle_beta 90.00
_cell_angle_gamma 90.00
loop_
_symmetry_equiv_pos_as_xyz
'x,y,z'
'-x,-y,-z'
'-x+1/2,-y+1/2,z'
'x+1/2,y+1/2,-z'
'x+1/2,-y,-z'
'-x+1/2,y,z'
'-x,y+1/2,-z'
'x,-y+1/2,z'
loop_
_atom_site_label
_atom_site_type_symbol
_atom_site_fract_x
_atom_site_fract_y
_atom_site_fract_z
_atom_site_occupancy
Dy1 Dy 0.250 0.082 0.250 1
Dy2 Dy 0.250 0.750 0.246 1
Ge1 Ge 0.250 0.081 0.649 1
Ge2 Ge 0.250 0.631 0.980 1
Ge3 Ge 0.250 0.750 0.639 1
Rh1 Rh 0.250 0.050 0.903 1
Rh2 Rh 0.250 0.250 0.016 1
Rh3 Rh 0.250 0.250 0.511 1
Rh4 Rh 0.250 0.584 0.498 1
```

***

4.
An optimized crystal structure of KLi5. Source: Alexandria via LeMat-Bulk, functional PBE.

Calculated total energy: -1.6479 eV/atom
Distance to the lowest polymorph of the same formula: 37 meV per atom
Energy of formation: 0.130 eV/atom

The structure in CIF format:
```
data_KLi5
_chemical_formula_sum 'K2 Li10'
_symmetry_space_group_name_H-M 'C m m m'
_symmetry_Int_Tables_number 65
_symmetry_space_group_name_Hall '-C 2 2'
_cell_length_a 5.351
_cell_length_b 11.901
_cell_length_c 5.240
_cell_angle_alpha 90.00
_cell_angle_beta 90.00
_cell_angle_gamma 90.00
loop_
_atom_site_label
_atom_site_type_symbol
_atom_site_fract_x
_atom_site_fract_y
_atom_site_fract_z
_atom_site_occupancy
K1 K 0.000 0.000 0.000 1
Li1 Li 0.000 0.203 0.500 1
Li2 Li 0.000 0.318 0.000 1
Li3 Li 0.000 0.500 0.500 1
```

***

5.
An optimized crystal structure of SiAuIO2. Source: Alexandria via LeMat-Bulk, functional PBE.

Energy relative to the elements, uncorrected: -0.553 eV per atom
Calculated total energy: -4.5867 eV/atom
Distance to the lowest polymorph of the same formula: 0 meV per atom

The structure in CIF format:
```
data_SiAuIO2
_chemical_formula_sum 'Si1 Au1 I1 O2'
_symmetry_space_group_name_H-M 'P 4/m m m'
_symmetry_Int_Tables_number 123
_symmetry_space_group_name_Hall '-P 4 2'
_cell_length_a 3.688
_cell_length_b 3.688
_cell_length_c 6.169
_cell_angle_alpha 90.00
_cell_angle_beta 90.00
_cell_angle_gamma 90.00
loop_
_atom_site_label
_atom_site_type_symbol
_atom_site_fract_x
_atom_site_fract_y
_atom_site_fract_z
_atom_site_occupancy
Si1 Si 0.000 0.000 0.000 1
Au1 Au 0.500 0.500 0.500 1
I1 I 0.000 0.000 0.500 1
O1 O 0.000 0.500 0.000 1
```

***

6.
An optimized crystal structure of Ag2RhAuI. Source: Alexandria via LeMat-Bulk, functional PBE.

Energy relative to the elements, uncorrected: 1.102 eV per atom
Calculated total energy: -2.4742 eV/atom

The structure in CIF format:
```
data_Ag2RhAuI
_chemical_formula_sum 'Ag2 Rh1 Au1 I1'
_symmetry_space_group_name_H-M 'P 4/m m m'
_symmetry_Int_Tables_number 123
_symmetry_space_group_name_Hall '-P 4 2'
_cell_length_a 5.146
_cell_length_b 5.146
_cell_length_c 5.423
_cell_angle_alpha 90.00
_cell_angle_beta 90.00
_cell_angle_gamma 90.00
loop_
_atom_site_label
_atom_site_type_symbol
_atom_site_fract_x
_atom_site_fract_y
_atom_site_fract_z
_atom_site_occupancy
Ag1 Ag 0.000 0.500 0.000 1
Rh1 Rh 0.000 0.000 0.500 1
Au1 Au 0.500 0.500 0.000 1
I1 I 0.500 0.500 0.500 1
```

***

7.
An optimized crystal structure of Ca3RuSe. Source: Alexandria via LeMat-Bulk, functional PBE.

Energy relative to the elements, uncorrected: -0.025 eV per atom
Calculated total energy: -3.7776 eV/atom
Distance to the lowest polymorph of the same formula: 202 meV per atom

The structure in CIF format:
```
data_Ca3RuSe
_chemical_formula_sum 'Ca3 Ru1 Se1'
_symmetry_space_group_name_H-M 'P m -3 m'
_symmetry_Int_Tables_number 221
_symmetry_space_group_name_Hall '-P 4 2 3'
_cell_length_a 5.410
_cell_length_b 5.410
_cell_length_c 5.410
_cell_angle_alpha 90.00
_cell_angle_beta 90.00
_cell_angle_gamma 90.00
loop_
_atom_site_label
_atom_site_type_symbol
_atom_site_fract_x
_atom_site_fract_y
_atom_site_fract_z
_atom_site_occupancy
Ca1 Ca 0.000 0.000 0.500 1
Ru1 Ru 0.500 0.500 0.500 1
Se1 Se 0.000 0.000 0.000 1
```

***

8.
An optimized crystal structure of ZrTa2Ir. Source: Alexandria via LeMat-Bulk, functional PBE.

Calculated total energy: -10.6361 eV/atom
Energy of formation: -0.358 eV/atom

The structure in CIF format:
```
data_ZrTa2Ir
_chemical_formula_sum 'Zr1 Ta2 Ir1'
_symmetry_space_group_name_H-M 'P 4 m m'
_symmetry_Int_Tables_number 99
_symmetry_space_group_name_Hall 'P 4 -2'
_cell_length_a 3.299
_cell_length_b 3.299
_cell_length_c 6.668
_cell_angle_alpha 90.00
_cell_angle_beta 90.00
_cell_angle_gamma 90.00
loop_
_atom_site_label
_atom_site_type_symbol
_atom_site_fract_x
_atom_site_fract_y
_atom_site_fract_z
_atom_site_occupancy
Zr1 Zr 0.000 0.000 0.000 1
Ta1 Ta 0.000 0.000 0.485 1
Ta2 Ta 0.500 0.500 0.731 1
Ir1 Ir 0.500 0.500 0.254 1
```

***

9.
An optimized crystal structure of SrScSi2Ag. Source: Alexandria via LeMat-Bulk, functional PBE.

Energy relative to the elements, uncorrected: 0.710 eV per atom
Calculated total energy: -3.6323 eV/atom

The structure in CIF format:
```
data_SrScSi2Ag
_chemical_formula_sum 'Sr1 Sc1 Si2 Ag1'
_symmetry_space_group_name_H-M 'P 4/m m m'
_symmetry_Int_Tables_number 123
_symmetry_space_group_name_Hall '-P 4 2'
_cell_length_a 5.063
_cell_length_b 5.063
_cell_length_c 5.797
_cell_angle_alpha 90.00
_cell_angle_beta 90.00
_cell_angle_gamma 90.00
loop_
_atom_site_label
_atom_site_type_symbol
_atom_site_fract_x
_atom_site_fract_y
_atom_site_fract_z
_atom_site_occupancy
Sr1 Sr 0.000 0.000 0.000 1
Sc1 Sc 0.000 0.000 0.500 1
Si1 Si 0.000 0.500 0.500 1
Ag1 Ag 0.500 0.500 0.000 1
```

***

10.
An optimized crystal structure of AsIrOF2. Source: Alexandria via LeMat-Bulk, functional PBE.

Energy relative to the elements, uncorrected: -0.179 eV per atom
Calculated total energy: -4.6209 eV/atom
Distance to the lowest polymorph of the same formula: 0 meV per atom

The structure in CIF format:
```
data_AsIrOF2
_chemical_formula_sum 'As1 Ir1 O1 F2'
_symmetry_space_group_name_H-M 'P 4/m m m'
_symmetry_Int_Tables_number 123
_symmetry_space_group_name_Hall '-P 4 2'
_cell_length_a 4.504
_cell_length_b 4.504
_cell_length_c 3.696
_cell_angle_alpha 90.00
_cell_angle_beta 90.00
_cell_angle_gamma 90.00
loop_
_atom_site_label
_atom_site_type_symbol
_atom_site_fract_x
_atom_site_fract_y
_atom_site_fract_z
_atom_site_occupancy
As1 As 0.000 0.000 0.000 1
Ir1 Ir 0.500 0.500 0.500 1
O1 O 0.500 0.500 0.000 1
F1 F 0.000 0.500 0.500 1
```

***

11.
An optimized crystal structure of TlZnS2. Source: Alexandria via LeMat-Bulk, functional PBE.

Energy relative to the elements, uncorrected: -0.075 eV per atom
Calculated total energy: -3.0492 eV/atom

The structure in CIF format:
```
data_TlZnS2
_chemical_formula_sum 'Tl3 Zn3 S6'
_symmetry_space_group_name_H-M 'R -3 m'
_symmetry_Int_Tables_number 166
_symmetry_space_group_name_Hall '-R 3 2"'
_cell_length_a 3.7960
_cell_length_b 3.7960
_cell_length_c 22.9410
_cell_angle_alpha 90.00
_cell_angle_beta 90.00
_cell_angle_gamma 120.00
loop_
_atom_site_label
_atom_site_type_symbol
_atom_site_fract_x
_atom_site_fract_y
_atom_site_fract_z
_atom_site_occupancy
Tl1 Tl 0.0000 0.0000 0.0000 1
Zn1 Zn 0.0000 0.0000 0.5000 1
S1 S 0.0000 0.0000 0.1129 1
```

***

12.
An optimized crystal structure of CoHgBiOs2. Source: Alexandria via LeMat-Bulk, functional PBE.

Calculated total energy: -4.3819 eV/atom
Energy of formation: 2.368 eV/atom

The structure in CIF format:
```
data_CoHgBiOs2
_chemical_formula_sum 'Co1 Hg1 Bi1 Os2'
_symmetry_space_group_name_H-M 'P 4/m m m'
_symmetry_Int_Tables_number 123
_symmetry_space_group_name_Hall '-P 4 2'
_cell_length_a 5.014
_cell_length_b 5.014
_cell_length_c 4.726
_cell_angle_alpha 90.00
_cell_angle_beta 90.00
_cell_angle_gamma 90.00
loop_
_atom_site_label
_atom_site_type_symbol
_atom_site_fract_x
_atom_site_fract_y
_atom_site_fract_z
_atom_site_occupancy
Co1 Co 0.000 0.000 0.000 1
Hg1 Hg 0.500 0.500 0.000 1
Bi1 Bi 0.000 0.000 0.500 1
Os1 Os 0.000 0.500 0.500 1
```

***

Asked for calculated density across the records above, the calculation gives 3.7 4.8 9.8 0.7 7.6 7.4 3.1 14.8 3.3 7.1 5.8 11.9 g cm⁻³ in order.